1.
Computed, not measured: a crystal of BaSr2Ga relaxed with PBEsol at the meta-GGA SCAN level of DFT.

The structure in POSCAR format:
```
BaSr2Ga
1.0
8.3221 0.0000 0.0000
0.0000 8.3221 0.0000
0.0000 0.0000 8.3221
Ba Sr Ga
4 8 4
Direct
0.0000 0.0000 0.0000
0.0000 0.5000 0.5000
0.5000 0.0000 0.5000
0.5000 0.5000 0.0000
0.2500 0.2500 0.2500
0.2500 0.2500 0.7500
0.2500 0.7500 0.2500
0.2500 0.7500 0.7500
0.7500 0.2500 0.2500
0.7500 0.2500 0.7500
0.7500 0.7500 0.2500
0.7500 0.7500 0.7500
0.0000 0.0000 0.5000
0.0000 0.5000 0.0000
0.5000 0.0000 0.0000
0.5000 0.5000 0.5000
```

Output
Energy of formation   0.0048 eV/atom
SG   Fm-3m
Total magnetization   0.9 μB per formula unit

2.
Computed, not measured: a crystal of BaSr2Ga2 relaxed with PBEsol at the meta-GGA SCAN level of DFT.

The structure in POSCAR format:
```
BaSr2Ga2
1.0
8.3323 0.0000 0.0000
0.0000 8.3323 0.0000
0.0000 0.0000 4.9299
Ba Sr Ga
2 4 4
Direct
0.0000 0.0000 0.0000
0.5000 0.5000 0.0000
0.1689 0.3311 0.5000
0.3311 0.8311 0.5000
0.6689 0.1689 0.5000
0.8311 0.6689 0.5000
0.1070 0.6070 0.0000
0.3930 0.1070 0.0000
0.6070 0.8930 0.0000
0.8930 0.3930 0.0000
```

Output
Energy of formation   -0.3332 eV/atom
Relative energy among the computed polymorphs   0.00 eV/f.u.
SG   P4/mbm
Total magnetization   0.0 μB per formula unit

3.
Computed, not measured: a crystal of BaGa2Tc relaxed with PBEsol at the meta-GGA SCAN level of DFT.

The structure in POSCAR format:
```
BaGa2Tc
1.0
6.9841 0.0000 0.0000
0.0000 6.9841 0.0000
0.0000 0.0000 6.9841
Ba Ga Tc
4 8 4
Direct
0.0000 0.0000 0.0000
0.0000 0.5000 0.5000
0.5000 0.0000 0.5000
0.5000 0.5000 0.0000
0.2500 0.2500 0.2500
0.2500 0.2500 0.7500
0.2500 0.7500 0.2500
0.2500 0.7500 0.7500
0.7500 0.2500 0.2500
0.7500 0.2500 0.7500
0.7500 0.7500 0.2500
0.7500 0.7500 0.7500
0.0000 0.0000 0.5000
0.0000 0.5000 0.0000
0.5000 0.0000 0.0000
0.5000 0.5000 0.5000
```

Output
Energy of formation   0.4508 eV/atom
SG   Fm-3m
Total magnetization   2.6 μB per formula unit